Below is Ir2Rh after structural relaxation, with properties calculated at the PBE-GGA level.

The structure belongs to space group Cmcm (No. 63); the cell edges are 3.859, 11.609 and 3.857 Å and the angles 90.00°, 90.00° and 90.00°. The asymmetric unit holds Ir at (0.000, 0.085, 0.250), Ir at (0.000, 0.251, 0.750) and Rh at (0.000, 0.417, 0.250).

Its formation energy is -1.4 kJ per mole of atoms. For the electronic total energy, the calculation gives -100.5 eV per cell. The density of states at the Fermi level is 13.06 states/eV per cell.